[1]
Crystalline Pm2HgH3 at its relaxed geometry. Source: Alexandria via LeMat-Bulk, functional PBE-GGA.

Calculated values
Calculated total energy in eV/atom: -3.817
Density in g cm⁻³: 8.2
Magnetic moment in Bohr magnetons per cell: 0.00

CIF file:
```
data_Pm2HgH3
_cell_length_a 15.4346
_cell_length_b 3.9012
_cell_length_c 7.2941
_cell_angle_alpha 90.00
_cell_angle_beta 114.10
_cell_angle_gamma 90.00
_space_group_name_H-M_alt 'C 1 2/m 1'
_space_group_IT_number 12
_space_group_name_Hall '-C 2y'
loop_
_atom_site_label
_atom_site_type_symbol
_atom_site_fract_x
_atom_site_fract_y
_atom_site_fract_z
_atom_site_occupancy
Pm1 Pm 0.0269 0.0000 0.2737 1
Pm2 Pm 0.2011 0.5000 0.6771 1
Hg1 Hg 0.1262 0.5000 0.0522 1
H1 H 0.0636 0.5000 0.4174 1
H2 H 0.0972 0.0000 0.6289 1
H3 H 0.1936 0.0000 0.4770 1
```

[2]
Crystalline NaSiIr3 at its relaxed geometry. Source: Alexandria via LeMat-Bulk, functional PBE-GGA.

Calculated values
Formation energy from raw total energies in kcal/mol of atoms: 52.89
Calculated total energy in eV/atom: -4.371
Density in g cm⁻³: 11.9
Magnetic moment in Bohr magnetons per cell: 0.00

CIF file:
```
data_NaSiIr3
_cell_length_a 4.4451
_cell_length_b 4.4451
_cell_length_c 4.4451
_cell_angle_alpha 90.00
_cell_angle_beta 90.00
_cell_angle_gamma 90.00
_space_group_name_H-M_alt 'P m -3 m'
_space_group_IT_number 221
_space_group_name_Hall '-P 4 2 3'
loop_
_atom_site_label
_atom_site_type_symbol
_atom_site_fract_x
_atom_site_fract_y
_atom_site_fract_z
_atom_site_occupancy
Na1 Na 0.0000 0.0000 0.0000 1
Si1 Si 0.5000 0.5000 0.5000 1
Ir1 Ir 0.0000 0.0000 0.5000 1
```

[3]
Crystalline YPaTeAs at its relaxed geometry. Source: Alexandria via LeMat-Bulk, functional PBE-GGA.

Calculated values
Formation energy from raw total energies in kcal/mol of atoms: -25.94
Calculated total energy in eV/atom: -7.063
Density in g cm⁻³: 8.0
Magnetic moment in Bohr magnetons per cell: 3.00

CIF file:
```
data_YPaTeAs
_cell_length_a 4.0836
_cell_length_b 4.0836
_cell_length_c 22.4968
_cell_angle_alpha 90.00
_cell_angle_beta 90.00
_cell_angle_gamma 120.00
_space_group_name_H-M_alt 'R 3 m'
_space_group_IT_number 160
_space_group_name_Hall 'R 3 -2"'
loop_
_atom_site_label
_atom_site_type_symbol
_atom_site_fract_x
_atom_site_fract_y
_atom_site_fract_z
_atom_site_occupancy
Y1 Y 0.0000 0.0000 0.0000 1
Pa1 Pa 0.0000 0.0000 0.8112 1
Te1 Te 0.0000 0.0000 0.2383 1
As1 As 0.0000 0.0000 0.4053 1
```

[4]
Crystalline CsLi3Tl3 at its relaxed geometry. Source: Alexandria via LeMat-Bulk, functional PBE-GGA.

Calculated values
Calculated total energy in eV/atom: -1.880
Density in g cm⁻³: 5.4
Magnetic moment in Bohr magnetons per cell: 0.00

CIF file:
```
data_CsLi3Tl3
_cell_length_a 7.7833
_cell_length_b 7.7833
_cell_length_c 7.7833
_cell_angle_alpha 90.00
_cell_angle_beta 90.00
_cell_angle_gamma 90.00
_space_group_name_H-M_alt 'P m -3 n'
_space_group_IT_number 223
_space_group_name_Hall '-P 4n 2 3'
loop_
_atom_site_label
_atom_site_type_symbol
_atom_site_fract_x
_atom_site_fract_y
_atom_site_fract_z
_atom_site_occupancy
Cs1 Cs 0.0000 0.0000 0.0000 1
Li1 Li 0.0000 0.2500 0.5000 1
Tl1 Tl 0.0000 0.5000 0.2500 1
```

[5]
Crystalline EuSbPd at its relaxed geometry. Source: Alexandria via LeMat-Bulk, functional PBE-GGA.

Calculated values
Formation energy from raw total energies in kcal/mol of atoms: -12.62
Calculated total energy in eV/atom: -7.077
Density in g cm⁻³: 8.3
Magnetic moment in Bohr magnetons per cell: 13.73

CIF file:
```
data_EuSbPd
_cell_length_a 4.0668
_cell_length_b 4.0668
_cell_length_c 9.1442
_cell_angle_alpha 90.00
_cell_angle_beta 90.00
_cell_angle_gamma 90.00
_space_group_name_H-M_alt 'I 4 m m'
_space_group_IT_number 107
_space_group_name_Hall 'I 4 -2'
loop_
_atom_site_label
_atom_site_type_symbol
_atom_site_fract_x
_atom_site_fract_y
_atom_site_fract_z
_atom_site_occupancy
Eu1 Eu 0.0000 0.0000 0.0000 1
Sb1 Sb 0.0000 0.0000 0.3340 1
Pd1 Pd 0.0000 0.0000 0.6441 1
```

[6]
Crystalline NpSi3Rh5 at its relaxed geometry. Source: Alexandria via LeMat-Bulk, functional PBE-GGA.

Calculated values
Formation energy from raw total energies in kcal/mol of atoms: -13.67
Calculated total energy in eV/atom: -7.922
Density in g cm⁻³: 9.5
Magnetic moment in Bohr magnetons per cell: 14.98

CIF file:
```
data_NpSi3Rh5
_cell_length_a 3.8810
_cell_length_b 12.3470
_cell_length_c 12.2243
_cell_angle_alpha 90.00
_cell_angle_beta 90.00
_cell_angle_gamma 90.00
_space_group_name_H-M_alt 'C m c m'
_space_group_IT_number 63
_space_group_name_Hall '-C 2c 2'
loop_
_atom_site_label
_atom_site_type_symbol
_atom_site_fract_x
_atom_site_fract_y
_atom_site_fract_z
_atom_site_occupancy
Np1 Np 0.0000 0.1534 0.2500 1
Si1 Si 0.0000 0.1167 0.7500 1
Si2 Si 0.0000 0.3835 0.5408 1
Rh1 Rh 0.0000 0.0000 0.0000 1
Rh2 Rh 0.0000 0.2027 0.5742 1
Rh3 Rh 0.0000 0.4501 0.1448 1
```